Density functional theory data (PBE+U) for an optimized crystal structure of VCdIO6.

Raw total energy (eV per atom): -5.41
Magnetic moment (μB/f.u.): 0.0
SG: No. 163

Cell and atoms, written as extended XYZ:
```
18
Lattice="5.292 0.000 0.000 -2.646 4.583 0.000 0.000 0.000 9.699" Properties=species:S:1:pos:R:3 pbc="T T T"
V 0.000 3.055 2.425
V 2.646 1.528 7.274
Cd 0.000 0.000 0.000
Cd 0.000 0.000 4.850
I 0.000 3.055 7.274
I 2.646 1.528 2.425
O -0.878 1.727 1.355
O -1.590 2.959 3.494
O 0.878 1.727 3.494
O -0.711 4.480 1.355
O 1.935 0.103 6.205
O 1.056 1.624 8.344
O 1.590 2.959 1.355
O 0.711 4.480 3.494
O 3.357 0.103 8.344
O 1.767 2.856 6.205
O 4.236 1.624 6.205
O 3.524 2.856 8.344
```